(1)
VASP calculation (GGA-PBE) on a geometry-optimized KPmTi2O6 structure.

Lattice parameters (Å, degrees): 7.536 7.536 5.755 96.16 96.16 91.79
Fractional coordinates of all 20 atoms:
K: 0.088 0.912 0.750
K: 0.912 0.088 0.250
Pm: 0.286 0.714 0.250
Pm: 0.714 0.286 0.750
Ti: 0.217 0.386 0.711
Ti: 0.386 0.217 0.211
Ti: 0.614 0.783 0.789
Ti: 0.783 0.614 0.289
O: 0.011 0.255 0.683
O: 0.184 0.591 0.872
O: 0.255 0.011 0.183
O: 0.285 0.406 0.399
O: 0.406 0.285 0.899
O: 0.409 0.816 0.628
O: 0.591 0.184 0.372
O: 0.594 0.715 0.101
O: 0.715 0.594 0.601
O: 0.745 0.989 0.817
O: 0.816 0.409 0.128
O: 0.989 0.745 0.317

Output
* total DFT energy (no corrections): -161.72 eV for the cell shown
* magnetization: 0.00 μB/atom
* space-group type: C2/c (15)
* formation energy (no corrections): -29.5 eV/f.u.
* density of states at the Fermi level: 0.00 states/eV per cell


(2)
VASP calculation (GGA-PBE) on a geometry-optimized K2PmTiO4 structure.

Lattice parameters (Å, degrees): 7.488 7.521 5.995 90.00 90.00 90.00
Fractional coordinates of all 16 atoms:
K: 0.242 0.155 0.000
K: 0.258 0.845 0.500
K: 0.742 0.845 0.500
K: 0.758 0.155 0.000
Pm: 0.000 0.651 0.983
Pm: 0.500 0.349 0.483
Ti: 0.000 0.370 0.480
Ti: 0.500 0.630 0.980
O: 0.000 0.398 0.175
O: 0.000 0.593 0.616
O: 0.209 0.254 0.553
O: 0.291 0.746 0.053
O: 0.500 0.407 0.116
O: 0.500 0.602 0.675
O: 0.709 0.746 0.053
O: 0.791 0.254 0.553

Output
* total DFT energy (no corrections): -108.41 eV for the cell shown
* magnetization: 0.10 μB/atom
* space-group type: Pmn2_1 (31)
* formation energy (no corrections): -19.5 eV/f.u.
* density of states at the Fermi level: 4.24 states/eV per cell


(3)
VASP calculation (GGA-PBE) on a geometry-optimized K3Pm3TiO8 structure.

Lattice parameters (Å, degrees): 7.472 7.472 7.472 55.29 55.29 55.29
Fractional coordinates of all 15 atoms:
K: 0.000 0.500 0.500
K: 0.500 0.000 0.500
K: 0.500 0.500 0.000
Pm: 0.000 0.000 0.500
Pm: 0.000 0.500 0.000
Pm: 0.500 0.000 0.000
Ti: 0.500 0.500 0.500
O: 0.230 0.230 0.230
O: 0.266 0.703 0.703
O: 0.297 0.297 0.734
O: 0.297 0.734 0.297
O: 0.703 0.266 0.703
O: 0.703 0.703 0.266
O: 0.734 0.297 0.297
O: 0.770 0.770 0.770

Output
* total DFT energy (no corrections): -105.85 eV for the cell shown
* magnetization: 0.00 μB/atom
* space-group type: R-3m (166)
* formation energy (no corrections): -40.7 eV/f.u.
* density of states at the Fermi level: 0.00 states/eV per cell